1.
VASP calculation (GGA-PBE) on crystalline SmDyZnIr at its relaxed geometry.

The value obtained for the formation energy is -0.58 eV/atom. Its polymorph energy (0 for the lowest one) is 0 meV per atom.

a = 4.3462 Å, b = 5.7216 Å, c = 5.7216 Å
α = 40.43°, β = 90.00°, γ = 90.00°
With the nearest neighbours (Å) after each atom.
Sites, in units of the cell vectors:
Sm 0.0000 0.0000 0.0000  4 Zn 3.04, 3 Ir 3.04-3.06
Dy 0.5000 0.7206 0.7206  3 Zn 2.98-3.14, 4 Ir 3.02
Zn 0.5000 0.4282 0.4282  2 Ir 2.66, 2 Dy 2.98
Ir 0.0000 0.2849 0.2849  2 Zn 2.66

---

2.
VASP calculation (GGA-PBE) on crystalline KHgW2 at its relaxed geometry.

The value obtained for the formation energy is 0.73 eV/atom.

a = 2.9447 Å, b = 2.9447 Å, c = 10.6073 Å
α = 90.00°, β = 90.00°, γ = 112.32°
With the nearest neighbours (Å) after each atom.
Sites, in units of the cell vectors:
K 0.0000 0.0000 0.0000  6 K 2.94-3.28
Hg 0.5000 0.5000 0.7199  6 Hg 2.94-3.28, 2 W 3.06
W 0.0000 0.0000 0.4768  2 W 2.55
W 0.5000 0.5000 0.2924  2 W 2.55

---

3.
VASP calculation (GGA-PBE) on crystalline IBr2Cl4 at its relaxed geometry.

The calculation puts the raw formation energy at 26.6 meV per atom.

a = 6.1912 Å, b = 6.1912 Å, c = 8.1707 Å
α = 91.58°, β = 91.58°, γ = 63.44°
With the nearest neighbours (Å) after each atom.
Sites, in units of the cell vectors:
I 0.0000 0.0000 0.0000  2 Cl 2.49, 2 Br 2.65
Br 0.1982 0.1982 0.8081  1 I 2.65
Br 0.8018 0.8018 0.1919  1 I 2.65
Cl 0.1453 0.1453 0.2464  1 I 2.49
Cl 0.4248 0.4248 0.4218  1 Cl 2.00
Cl 0.5752 0.5752 0.5782  1 Cl 2.00
Cl 0.8547 0.8547 0.7536  1 I 2.49

---

4.
VASP calculation (GGA-PBE) on crystalline Pu2AsCl at its relaxed geometry.

The calculation puts the raw formation energy at -1034.7 meV per atom.

a = 5.0360 Å, b = 5.0360 Å, c = 5.0360 Å
α = 60.00°, β = 60.00°, γ = 60.00°
With the nearest neighbours (Å) after each atom.
Sites, in units of the cell vectors:
Pu 0.2500 0.2500 0.2500  4 As 3.08, 4 Cl 3.08
Pu 0.7500 0.7500 0.7500  4 As 3.08, 4 Cl 3.08
As 0.0000 0.0000 0.0000  8 Pu 3.08
Cl 0.5000 0.5000 0.5000  8 Pu 3.08

---

Copy entry 4 word for word.
VASP calculation (GGA-PBE) on crystalline Pu2AsCl at its relaxed geometry.

The calculation puts the raw formation energy at -1034.7 meV per atom.

a = 5.0360 Å, b = 5.0360 Å, c = 5.0360 Å
α = 60.00°, β = 60.00°, γ = 60.00°
With the nearest neighbours (Å) after each atom.
Sites, in units of the cell vectors:
Pu 0.2500 0.2500 0.2500  4 As 3.08, 4 Cl 3.08
Pu 0.7500 0.7500 0.7500  4 As 3.08, 4 Cl 3.08
As 0.0000 0.0000 0.0000  8 Pu 3.08
Cl 0.5000 0.5000 0.5000  8 Pu 3.08

---

Repeat the third record exactly.
VASP calculation (GGA-PBE) on crystalline IBr2Cl4 at its relaxed geometry.

The calculation puts the raw formation energy at 26.6 meV per atom.

a = 6.1912 Å, b = 6.1912 Å, c = 8.1707 Å
α = 91.58°, β = 91.58°, γ = 63.44°
With the nearest neighbours (Å) after each atom.
Sites, in units of the cell vectors:
I 0.0000 0.0000 0.0000  2 Cl 2.49, 2 Br 2.65
Br 0.1982 0.1982 0.8081  1 I 2.65
Br 0.8018 0.8018 0.1919  1 I 2.65
Cl 0.1453 0.1453 0.2464  1 I 2.49
Cl 0.4248 0.4248 0.4218  1 Cl 2.00
Cl 0.5752 0.5752 0.5782  1 Cl 2.00
Cl 0.8547 0.8547 0.7536  1 I 2.49

---

What did the third record say?
VASP calculation (GGA-PBE) on crystalline IBr2Cl4 at its relaxed geometry.

The calculation puts the raw formation energy at 26.6 meV per atom.

a = 6.1912 Å, b = 6.1912 Å, c = 8.1707 Å
α = 91.58°, β = 91.58°, γ = 63.44°
With the nearest neighbours (Å) after each atom.
Sites, in units of the cell vectors:
I 0.0000 0.0000 0.0000  2 Cl 2.49, 2 Br 2.65
Br 0.1982 0.1982 0.8081  1 I 2.65
Br 0.8018 0.8018 0.1919  1 I 2.65
Cl 0.1453 0.1453 0.2464  1 I 2.49
Cl 0.4248 0.4248 0.4218  1 Cl 2.00
Cl 0.5752 0.5752 0.5782  1 Cl 2.00
Cl 0.8547 0.8547 0.7536  1 I 2.49